[1]
{
  "formula": "PmTaGe",
  "functional": "PBE",
  "state": "relaxed",
  "cell": [[-1.001, 3.749, -1.225], [-2.889, -1.557, -2.404], [-5.358, 0.556, 6.078]],
  "species": ["Pm", "Pm", "Ta", "Ta", "Ge", "Ge"],
  "fractional_positions": [[0.000, 0.500, 0.850], [0.500, 0.000, 0.150], [0.500, 0.500, 0.500], [0.000, 0.000, 0.500], [0.000, 0.500, 0.266], [0.500, 0.000, 0.734]],
  "dft_energy_ev_per_atom": -7.63,
  "polymorph_energy_mev_per_atom": 0,
  "m_tot_mub_per_fu": 0.6,
  "sg": "P4/nmm"
}

=====

[2]
{
  "formula": "Pm5Ta3Ge12",
  "functional": "PBE",
  "state": "relaxed",
  "cell": [[14.009, 0.000, 0.000], [-4.670, 13.207, 0.000], [-4.670, -6.604, 11.438]],
  "species": ["Ta", "Ta", "Ta", "Ta", "Ta", "Ta", "Ta", "Ta", "Ta", "Ta", "Ta", "Ta", "Pm", "Pm", "Pm", "Pm", "Pm", "Pm", "Pm", "Pm", "Pm", "Pm", "Pm", "Pm", "Pm", "Pm", "Pm", "Pm", "Pm", "Pm", "Pm", "Pm", "Ge", "Ge", "Ge", "Ge", "Ge", "Ge", "Ge", "Ge", "Ge", "Ge", "Ge", "Ge", "Ge", "Ge", "Ge", "Ge", "Ge", "Ge", "Ge", "Ge", "Ge", "Ge", "Ge", "Ge", "Ge", "Ge", "Ge", "Ge", "Ge", "Ge", "Ge", "Ge", "Ge", "Ge", "Ge", "Ge", "Ge", "Ge", "Ge", "Ge", "Ge", "Ge", "Ge", "Ge", "Ge", "Ge", "Ge", "Ge"],
  "fractional_positions": [[0.750, 0.375, 0.125], [0.875, 0.750, 0.125], [0.375, 0.750, 0.625], [0.250, 0.125, 0.375], [0.875, 0.125, 0.250], [0.375, 0.625, 0.250], [0.625, 0.375, 0.750], [0.125, 0.875, 0.750], [0.750, 0.875, 0.625], [0.625, 0.250, 0.375], [0.125, 0.250, 0.875], [0.250, 0.625, 0.875], [0.125, 0.375, 0.250], [0.000, 0.500, 0.000], [0.000, 0.000, 0.000], [0.375, 0.250, 0.125], [0.500, 0.000, 0.500], [0.500, 0.500, 0.000], [0.125, 0.750, 0.375], [0.750, 0.125, 0.875], [0.750, 0.625, 0.375], [0.375, 0.125, 0.750], [0.625, 0.875, 0.250], [0.500, 0.500, 0.500], [0.500, 0.000, 0.000], [0.000, 0.000, 0.500], [0.250, 0.375, 0.625], [0.250, 0.875, 0.125], [0.000, 0.500, 0.500], [0.875, 0.250, 0.625], [0.625, 0.750, 0.875], [0.875, 0.625, 0.750], [0.746, 0.158, 0.088], [0.341, 0.588, 0.430], [0.912, 0.342, 0.254], [0.588, 0.246, 0.158], [0.588, 0.746, 0.659], [0.912, 0.570, 0.159], [0.341, 0.754, 0.412], [0.070, 0.912, 0.158], [0.570, 0.912, 0.659], [0.746, 0.588, 0.159], [0.754, 0.412, 0.342], [0.841, 0.930, 0.088], [0.158, 0.746, 0.588], [0.342, 0.430, 0.088], [0.088, 0.930, 0.342], [0.412, 0.158, 0.570], [0.088, 0.159, 0.246], [0.412, 0.659, 0.070], [0.841, 0.912, 0.254], [0.158, 0.412, 0.070], [0.342, 0.912, 0.754], [0.570, 0.658, 0.412], [0.930, 0.841, 0.588], [0.754, 0.341, 0.912], [0.430, 0.342, 0.588], [0.070, 0.159, 0.412], [0.246, 0.659, 0.088], [0.159, 0.088, 0.746], [0.658, 0.088, 0.246], [0.842, 0.588, 0.930], [0.588, 0.341, 0.930], [0.588, 0.842, 0.430], [0.912, 0.841, 0.754], [0.912, 0.070, 0.658], [0.842, 0.254, 0.412], [0.159, 0.070, 0.912], [0.658, 0.570, 0.912], [0.430, 0.088, 0.341], [0.254, 0.412, 0.841], [0.246, 0.588, 0.658], [0.930, 0.088, 0.842], [0.659, 0.246, 0.588], [0.412, 0.754, 0.842], [0.088, 0.430, 0.841], [0.412, 0.254, 0.341], [0.088, 0.658, 0.746], [0.659, 0.412, 0.570], [0.254, 0.842, 0.912]],
  "dft_energy_ev_per_atom": -5.75,
  "m_tot_mub_per_fu": 0.0,
  "sg": "Ia-3d"
}

=====

[3]
{
  "formula": "Pm4TaGe5",
  "functional": "PBE",
  "state": "relaxed",
  "cell": [[5.843, 0.000, 0.000], [2.922, 6.521, 0.000], [2.922, 0.000, 6.521]],
  "species": ["Pm", "Pm", "Pm", "Pm", "Ta", "Ge", "Ge", "Ge", "Ge", "Ge"],
  "fractional_positions": [[0.410, 0.393, 0.790], [0.802, 0.790, 0.607], [0.200, 0.210, 0.393], [0.592, 0.607, 0.210], [0.001, 0.000, 0.000], [0.908, 0.369, 0.817], [0.277, 0.817, 0.631], [0.726, 0.183, 0.369], [0.094, 0.631, 0.183], [0.501, 0.000, 0.000]],
  "dft_energy_ev_per_atom": -5.95,
  "m_tot_mub_per_fu": 0.0,
  "sg": "I4/m"
}

=====

[4]
{
  "formula": "Pm2TaGe4",
  "functional": "PBE",
  "state": "relaxed",
  "cell": [[6.191, 0.022, 0.000], [-0.075, 6.190, 0.000], [-3.058, -3.106, 4.354]],
  "species": ["Pm", "Pm", "Ta", "Ge", "Ge", "Ge", "Ge"],
  "fractional_positions": [[0.250, 0.750, 0.500], [0.750, 0.250, 0.500], [0.000, 0.000, 0.000], [0.707, 0.707, 0.000], [0.293, 0.293, 0.000], [0.294, 0.294, 0.588], [0.706, 0.706, 0.412]],
  "dft_energy_ev_per_atom": -6.02,
  "m_tot_mub_per_fu": 1.0,
  "sg": "Fmmm"
}